# 1
VASP calculation (PBE) on a relaxed TlCdN2 crystal.

POSCAR file:
```
TlCdN2
1.0
-2.608 2.608 5.166
2.608 -2.608 5.166
2.608 2.608 -5.166
Tl Cd N
2 2 4
Direct
0.000 0.000 0.000
0.750 0.250 0.500
0.250 0.750 0.500
0.500 0.500 0.000
0.127 0.625 0.002
0.375 0.377 0.502
0.623 0.125 0.998
0.875 0.873 0.498
```

## Properties
The calculation puts the total magnetization at 0.00 μB per atom. For the uncorrected formation energy, the calculation gives 1.000 eV/atom. The space group is No. 122. Its energy above the most stable polymorph in this dataset is 0 meV per atom.

---

# 2
VASP calculation (PBE) on a relaxed TlCd3N crystal.

POSCAR file:
```
TlCd3N
1.0
5.508 0.000 0.000
0.000 5.508 0.000
0.000 0.000 5.508
Tl Cd N
1 3 1
Direct
0.000 0.000 0.000
0.000 0.000 0.500
0.000 0.500 0.000
0.500 0.000 0.000
0.500 0.500 0.500
```

## Properties
The calculation puts the total magnetization at 0.00 μB per atom. For the uncorrected formation energy, the calculation gives 1.576 eV/atom. The space group is No. 221. Its energy above the most stable polymorph in this dataset is 1104 meV per atom.

---

# 3
VASP calculation (PBE) on a relaxed Tl2CdN crystal.

POSCAR file:
```
Tl2CdN
1.0
-3.399 3.399 4.497
3.399 -3.399 4.497
3.399 3.399 -4.497
Tl Cd N
4 2 2
Direct
0.042 0.625 0.917
0.375 0.292 0.417
0.708 0.125 0.083
0.875 0.958 0.583
0.250 0.750 0.500
0.500 0.500 0.000
0.000 0.000 0.000
0.750 0.250 0.500
```

## Properties
The calculation puts the total magnetization at 0.00 μB per atom. For the uncorrected formation energy, the calculation gives 0.620 eV/atom. The space group is No. 122. Its energy above the most stable polymorph in this dataset is 0 meV per atom.

---

# 4
VASP calculation (PBE) on a relaxed Y2TlCdN crystal.

POSCAR file:
```
Y2TlCdN
1.0
5.638 0.000 0.000
0.000 5.638 0.000
0.000 0.000 5.113
Y Tl Cd N
2 1 1 1
Direct
0.000 0.500 0.000
0.500 0.000 0.000
0.000 0.000 0.500
0.000 0.000 0.000
0.500 0.500 0.500
```

## Properties
The calculation puts the total magnetization at 0.00 μB per atom. For the uncorrected formation energy, the calculation gives 1.355 eV/atom. The space group is No. 123.

---

# 5
VASP calculation (PBE) on a relaxed Tm3CdN crystal.

POSCAR file:
```
Tm3CdN
1.0
4.743 0.000 0.000
0.000 4.743 0.000
0.000 0.000 4.743
Tm Cd N
3 1 1
Direct
0.000 0.000 0.500
0.000 0.500 0.000
0.500 0.000 0.000
0.500 0.500 0.500
0.000 0.000 0.000
```

## Properties
The calculation puts the total magnetization at 0.00 μB per atom. For the uncorrected formation energy, the calculation gives -0.888 eV/atom. The space group is No. 221.

---

# 6
VASP calculation (PBE) on a relaxed Tm2CdN crystal.

POSCAR file:
```
Tm2CdN
1.0
1.722 0.994 7.815
-1.722 0.994 7.815
0.000 -1.989 7.815
Tm Cd N
2 1 1
Direct
0.223 0.223 0.223
0.777 0.777 0.777
0.000 0.000 0.000
0.500 0.500 0.500
```

## Properties
The calculation puts the total magnetization at 0.00 μB per atom. For the uncorrected formation energy, the calculation gives -0.969 eV/atom. The space group is No. 166.

---

# 7
VASP calculation (PBE) on a relaxed Y2TmCdN crystal.

POSCAR file:
```
Y2TmCdN
1.0
4.849 0.000 0.000
0.000 4.849 0.000
0.000 0.000 4.734
Y Tm Cd N
2 1 1 1
Direct
0.000 0.500 0.000
0.500 0.000 0.000
0.000 0.000 0.500
0.500 0.500 0.500
0.000 0.000 0.000
```

## Properties
The calculation puts the total magnetization at 0.00 μB per atom. For the uncorrected formation energy, the calculation gives -0.873 eV/atom. The space group is No. 123.

---

# 8
VASP calculation (PBE) on a relaxed Tm2ZrCdN crystal.

POSCAR file:
```
Tm2ZrCdN
1.0
4.712 0.000 0.000
0.000 4.712 0.000
0.000 0.000 4.564
Tm Zr Cd N
2 1 1 1
Direct
0.000 0.500 0.000
0.500 0.000 0.000
0.000 0.000 0.500
0.500 0.500 0.500
0.000 0.000 0.000
```

## Properties
The calculation puts the total magnetization at 0.00 μB per atom. For the uncorrected formation energy, the calculation gives -0.846 eV/atom. The space group is No. 123.

---

# 9
VASP calculation (PBE) on a relaxed TmZr2CdN crystal.

POSCAR file:
```
TmZr2CdN
1.0
4.535 0.000 0.000
0.000 4.535 0.000
0.000 0.000 4.701
Tm Zr Cd N
1 2 1 1
Direct
0.000 0.000 0.000
0.000 0.500 0.500
0.500 0.000 0.500
0.500 0.500 0.000
0.000 0.000 0.500
```

## Properties
The calculation puts the total magnetization at 0.00 μB per atom. For the uncorrected formation energy, the calculation gives -0.813 eV/atom. The space group is No. 123.

---

# 10
VASP calculation (PBE) on a relaxed UCdN crystal.

POSCAR file:
```
UCdN
1.0
3.245 -1.879 0.000
3.245 1.879 0.000
-0.022 0.000 10.525
U Cd N
2 2 2
Direct
0.167 0.167 0.135
0.833 0.833 0.865
0.167 0.167 0.603
0.833 0.833 0.397
0.167 0.167 0.916
0.833 0.833 0.084
```

## Properties
The calculation puts the total magnetization at 0.84 μB per atom. For the uncorrected formation energy, the calculation gives -0.623 eV/atom. The space group is No. 12.

---

# 11
VASP calculation (PBE) on a relaxed UCdN2 crystal.

POSCAR file:
```
UCdN2
1.0
1.747 1.009 7.031
-1.747 1.009 7.031
0.000 -2.018 7.031
U Cd N
1 1 2
Direct
0.000 0.000 0.000
0.500 0.500 0.500
0.376 0.376 0.376
0.624 0.624 0.624
```

## Properties
The calculation puts the total magnetization at 0.04 μB per atom. For the uncorrected formation energy, the calculation gives -0.735 eV/atom. The space group is No. 166.

---

# 12
VASP calculation (PBE) on a relaxed VCdN crystal.

POSCAR file:
```
VCdN
1.0
5.910 -1.401 0.000
5.910 1.401 0.000
-1.445 0.000 5.332
V Cd N
2 2 2
Direct
0.000 0.000 0.000
0.000 0.000 0.500
0.262 0.262 0.755
0.738 0.738 0.245
0.499 0.499 0.749
0.501 0.501 0.251
```

## Properties
The calculation puts the total magnetization at 0.00 μB per atom. For the uncorrected formation energy, the calculation gives -0.348 eV/atom. The space group is No. 12.